First-principles (PBE) data for Ca3Pr3Si4 after structural relaxation, as listed in Alexandria.

Values from the calculation:
Uncorrected formation energy in eV/atom: -0.593
Volume in Å³/cell: 264.76

Unit cell a=4.430 b=7.731 c=7.731 alpha=90.22 beta=90.00 gamma=90.00
Atoms (fractional coordinates):
Pr (0.500, 0.323, 0.322)
Si (0.000, 0.612, 0.388)
Ca (0.000, 0.002, 0.503)
Si (0.000, 0.886, 0.891)
Ca (0.000, 0.497, 0.998)
Pr (0.500, 0.824, 0.176)
Si (0.000, 0.392, 0.608)
Pr (0.500, 0.678, 0.677)
Si (0.000, 0.109, 0.114)
Ca (0.500, 0.178, 0.822)

First-principles (PBE) data for CaPr2Si after structural relaxation, as listed in Alexandria.

Values from the calculation:
Uncorrected formation energy in eV/atom: -0.193
Offset from the most stable computed form in eV per formula unit: 0.012
Volume in Å³/cell: 149.26

Unit cell a=4.148 b=4.148 c=10.299 alpha=78.38 beta=78.38 gamma=60.00
Atoms (fractional coordinates):
Si (0.000, 0.000, 0.000)
Ca (0.500, 0.500, 0.500)
Pr (0.723, 0.723, 0.832)
Pr (0.277, 0.277, 0.168)

First-principles (PBE) data for CaPr2Si after structural relaxation, as listed in Alexandria.

Values from the calculation:
Uncorrected formation energy in eV/atom: -0.196
Offset from the most stable computed form in eV per formula unit: 0.000
Volume in Å³/cell: 149.48

Unit cell a=4.144 b=4.144 c=10.333 alpha=78.43 beta=78.43 gamma=60.00
Atoms (fractional coordinates):
Pr (0.277, 0.277, 0.168)
Ca (0.501, 0.501, 0.497)
Si (0.666, 0.666, 0.002)
Pr (0.056, 0.056, 0.833)

First-principles (PBE) data for Ca2PrSi4 after structural relaxation, as listed in Alexandria.

Values from the calculation:
Uncorrected formation energy in eV/atom: -0.570
Volume in Å³/cell: 156.39

Unit cell a=3.903 b=4.450 c=9.479 alpha=103.57 beta=101.88 gamma=90.00
Atoms (fractional coordinates):
Ca (0.816, 0.816, 0.632)
Si (0.357, 0.357, 0.713)
Si (0.934, 0.434, 0.867)
Si (0.643, 0.643, 0.287)
Pr (0.500, 0.000, 0.000)
Ca (0.184, 0.184, 0.368)
Si (0.066, 0.566, 0.133)

First-principles (PBE) data for Ca2PrZn2Si2 after structural relaxation, as listed in Alexandria.

Values from the calculation:
Uncorrected formation energy in eV/atom: -0.456
Volume in Å³/cell: 177.91

Unit cell a=4.179 b=4.179 c=12.010 alpha=79.98 beta=79.98 gamma=60.00
Atoms (fractional coordinates):
Pr (0.000, 0.000, 0.000)
Si (0.726, 0.726, 0.821)
Zn (0.394, 0.394, 0.818)
Ca (0.119, 0.119, 0.643)
Ca (0.881, 0.881, 0.357)
Si (0.274, 0.274, 0.179)
Zn (0.606, 0.606, 0.182)

First-principles (PBE) data for CaPr2Zn2Si2 after structural relaxation, as listed in Alexandria.

Values from the calculation:
Uncorrected formation energy in eV/atom: -0.387
Volume in Å³/cell: 175.53

Unit cell a=4.161 b=4.161 c=11.949 alpha=79.97 beta=79.97 gamma=60.00
Atoms (fractional coordinates):
Zn (0.604, 0.604, 0.187)
Pr (0.121, 0.121, 0.638)
Si (0.271, 0.271, 0.186)
Si (0.729, 0.729, 0.814)
Zn (0.396, 0.396, 0.813)
Pr (0.879, 0.879, 0.362)
Ca (0.000, 0.000, 0.000)